Entry from Alexandria via LeMat-Bulk: a relaxed SrMg2TcN4 crystal (PBE-GGA).

Geometry as extended XYZ:
```
16
Lattice="5.540 0.000 0.000 0.000 5.807 0.000 0.000 0.000 7.438" Properties=species:S:1:pos:R:3 pbc="T T T"
Sr 5.426 1.012 3.719
Sr 2.656 4.795 0.000
Mg 2.739 1.908 1.888
Mg 2.739 1.908 5.550
Mg 5.509 3.899 5.607
Mg 5.509 3.899 1.831
Tc 2.789 4.671 3.719
Tc 0.019 1.136 0.000
N 1.870 1.400 0.000
N 4.640 4.407 3.719
N 2.531 0.749 3.719
N 5.301 5.058 0.000
N 2.033 3.856 5.212
N 4.803 1.951 1.493
N 4.803 1.951 5.946
N 2.033 3.856 2.227
```

**Crystal system**: orthorhombic
**Formation energy from raw total energies**: -0.5812 eV/atom
**N(E_F)**: 0.309 states/eV per atom
**Total DFT energy (no corrections)**: -6.649 eV/atom